The following is a DFT calculation (PBE) of a relaxed DyZnCo2H8 crystal.

Cell: 4.5727 4.5727 6.0995 Å, 90.00 90.00 120.00°
Positions (direct):
Dy1 0.0000 0.0000 0.0000
Zn1 0.0000 0.0000 0.5000
Co1 0.3333 0.6667 0.3373
Co2 0.6667 0.3333 0.6627
H1 0.1484 0.2968 0.2892
H2 0.1484 0.8516 0.2892
H3 0.2968 0.1484 0.7108
H4 0.3333 0.6667 0.0843
H5 0.6667 0.3333 0.9157
H6 0.7032 0.8516 0.2892
H7 0.8516 0.1484 0.7108
H8 0.8516 0.7032 0.7108

- Calculated total energy: -45.72 eV per cell
- SG: P-3m1

=====

The following is a DFT calculation (PBE) of a relaxed KSr2AlMo crystal.

Cell: 6.2491 6.2491 6.2791 Å, 90.00 90.00 90.00°
Positions (direct):
K1 0.0000 0.0000 0.0000
Sr1 0.0000 0.5000 0.5000
Sr2 0.5000 0.0000 0.5000
Al1 0.0000 0.0000 0.5000
Mo1 0.5000 0.5000 0.0000

- Calculated total energy: -13.32 eV per cell
- Calculated formation energy: 1.142 eV/atom
- SG: P4/mmm

=====

The following is a DFT calculation (PBE) of a relaxed MnCr2GeS6 crystal.

Cell: 6.5066 6.5066 6.5066 Å, 56.19 56.19 56.19°
Positions (direct):
Mn1 0.0000 0.0000 0.0000
Cr1 0.1950 0.1950 0.1950
Cr2 0.6917 0.6917 0.6917
Ge1 0.4943 0.4943 0.4943
S1 0.0761 0.4042 0.8067
S2 0.2865 0.9139 0.5947
S3 0.4042 0.8067 0.0761
S4 0.5947 0.2865 0.9139
S5 0.8067 0.0761 0.4042
S6 0.9139 0.5947 0.2865

- Calculated total energy: -62.88 eV per cell
- SG: R3
- Uncorrected formation energy: -490 kJ/mol of formula units

=====

The following is a DFT calculation (PBE) of a relaxed DyZrIr2 crystal.

Cell: 4.7607 4.7607 4.7607 Å, 60.00 60.00 60.00°
Positions (direct):
Dy1 0.0000 0.0000 0.0000
Zr1 0.5000 0.5000 0.5000
Ir1 0.2500 0.2500 0.2500
Ir2 0.7500 0.7500 0.7500

- Calculated total energy: -33.96 eV per cell
- Calculated formation energy: -0.772 eV/atom
- SG: Fm-3m
- Excess energy over the best structure of this formula in the dataset: 46 meV/atom

=====

Number 1: V 9.20 Å³/atom. Number 2: V 49.04 Å³/atom. Number 3: V 17.76 Å³/atom. Number 4: V 19.07 Å³/atom.